(1)
Here is a relaxed structure of Pm2SmDy5Th from the Alexandria database. Energies are from PBE.

Geometry as extended XYZ:
```
18
Lattice="2.870 -10.762 0.000 2.870 10.762 0.000 0.000 0.000 9.837" Properties=species:S:1:pos:R:3 pbc="T T T"
Pm 2.870 8.276 4.918
Pm 2.870 7.990 8.677
Pm 2.870 -7.990 3.759
Pm 2.870 -8.276 0.000
Sm 2.870 6.650 1.843
Sm 2.870 -6.650 6.761
Dy 2.870 10.449 1.843
Dy 2.870 4.906 4.870
Dy 2.870 4.185 8.699
Dy 2.870 2.176 2.073
Dy 2.870 0.658 8.956
Dy 2.870 -0.658 4.038
Dy 2.870 -2.176 6.991
Dy 2.870 -4.185 3.780
Dy 2.870 -4.906 9.789
Dy 2.870 -10.449 6.761
Th 2.870 2.009 5.847
Th 2.870 -2.009 0.929
```

Summary:
The calculation puts the formation energy at 1.45 eV/f.u. The space group is Cmc2_1, No. 36. Its crystal system is orthorhombic. As for the electronic total energy: -4.800 eV per atom. As for the density of states at the Fermi level: 25.1 states/eV/cell.

(2)
Here is a relaxed structure of LaBi2Rh2 from the Alexandria database. Energies are from PBE.

Geometry as extended XYZ:
```
5
Lattice="-2.373 2.373 5.529 2.373 -2.373 5.529 2.373 2.373 -5.529" Properties=species:S:1:pos:R:3 pbc="T T T"
La 0.000 0.000 0.000
Bi 0.000 0.000 4.010
Bi 0.000 0.000 7.047
Rh 2.373 0.000 2.764
Rh 0.000 2.373 2.764
```

Summary:
The calculation puts the formation energy at -2.02 eV/f.u. The space group is I4/mmm, No. 139. Its crystal system is tetragonal. As for the electronic total energy: -5.882 eV per atom. As for the density of states at the Fermi level: 7.7 states/eV/cell.

(3)
Here is a relaxed structure of PrPu2Tc from the Alexandria database. Energies are from PBE.

Geometry as extended XYZ:
```
4
Lattice="2.362 1.364 5.158 -2.362 1.364 5.158 0.000 -2.728 5.158" Properties=species:S:1:pos:R:3 pbc="T T T"
Pr 0.000 0.000 0.000
Pu 0.000 0.000 3.466
Pu 0.000 0.000 12.008
Tc 0.000 0.000 7.737
```

Summary:
The calculation puts the formation energy at 1.05 eV/f.u. The space group is R-3m, No. 166. The value obtained for the distance to the lowest polymorph of the same formula is 0.53 eV/f.u. Its crystal system is trigonal. As for the electronic total energy: -10.691 eV per atom. As for the density of states at the Fermi level: 13.2 states/eV/cell.

(4)
Here is a relaxed structure of Tm3InS6 from the Alexandria database. Energies are from PBE.

Geometry as extended XYZ:
```
20
Lattice="5.298 -6.635 0.000 5.298 6.635 0.000 0.000 0.000 6.543" Properties=species:S:1:pos:R:3 pbc="T T T"
Tm 5.298 5.376 3.272
Tm 3.321 1.307 3.852
Tm 3.321 -1.307 0.581
Tm 7.276 1.307 3.852
Tm 7.276 -1.307 0.581
Tm 5.298 -5.376 0.000
In 5.298 2.683 0.739
In 5.298 -2.683 4.010
S 3.458 3.632 2.112
S 1.725 0.421 1.912
S 1.725 -0.421 5.184
S 5.298 2.917 4.849
S 7.138 3.632 2.112
S 5.298 0.432 1.878
S 5.298 -0.432 5.150
S 3.458 -3.632 5.384
S 5.298 -2.917 1.577
S 8.872 0.421 1.912
S 8.872 -0.421 5.184
S 7.138 -3.632 5.384
```

Summary:
The space group is Cmc2_1, No. 36. The value obtained for the distance to the lowest polymorph of the same formula is 0.00 eV/f.u. As for the formation energy without anion corrections: -16.7 eV per formula unit. Its crystal system is orthorhombic. As for the electronic total energy: -5.761 eV per atom. As for the density of states at the Fermi level: 0.0 states/eV/cell.

(5)
Here is a relaxed structure of La2CoSiAg from the Alexandria database. Energies are from PBE.

Geometry as extended XYZ:
```
5
Lattice="5.387 0.000 0.000 0.000 5.387 0.000 0.000 0.000 4.337" Properties=species:S:1:pos:R:3 pbc="T T T"
La 0.000 2.693 0.000
La 2.693 0.000 0.000
Co 0.000 0.000 0.000
Si 0.000 0.000 2.169
Ag 2.693 2.693 2.169
```

Summary:
The space group is P4/mmm, No. 123. As for the formation energy without anion corrections: -1.7 eV per formula unit. Its crystal system is tetragonal. As for the electronic total energy: -5.391 eV per atom. As for the density of states at the Fermi level: 3.9 states/eV/cell.

(6)
Here is a relaxed structure of Ti2VGe6 from the Alexandria database. Energies are from PBE.

Geometry as extended XYZ:
```
9
Lattice="2.448 -4.251 0.000 2.448 4.251 0.000 0.000 0.000 6.755" Properties=species:S:1:pos:R:3 pbc="T T T"
Ti 1.224 2.126 1.116
Ti 1.224 -2.126 5.639
V 0.000 0.000 3.378
Ge 1.230 0.695 5.607
Ge 2.448 1.433 3.378
Ge 1.230 -0.695 1.149
Ge 3.665 0.695 1.149
Ge 2.448 -1.433 3.378
Ge 3.665 -0.695 5.607
```

Summary:
The calculation puts the formation energy at -3.03 eV/f.u. The space group is C222, No. 21. Its crystal system is orthorhombic. As for the electronic total energy: -6.182 eV per atom. As for the density of states at the Fermi level: 4.3 states/eV/cell.

(7)
Here is a relaxed structure of CrFe2Ag from the Alexandria database. Energies are from PBE.

Geometry as extended XYZ:
```
4
Lattice="2.645 0.000 0.000 0.000 2.645 0.000 0.000 0.000 7.534" Properties=species:S:1:pos:R:3 pbc="T T T"
Cr 0.000 0.000 0.000
Fe 1.323 1.323 1.651
Fe 1.323 1.323 5.883
Ag 0.000 0.000 3.767
```

Summary:
The calculation puts the formation energy at 1.34 eV/f.u. The space group is P4/mmm, No. 123. The value obtained for the distance to the lowest polymorph of the same formula is 0.05 eV/f.u. Its crystal system is tetragonal. As for the electronic total energy: -7.016 eV per atom. As for the density of states at the Fermi level: 4.6 states/eV/cell.

(8)
Here is a relaxed structure of Re2SiPb from the Alexandria database. Energies are from PBE.

Geometry as extended XYZ:
```
4
Lattice="3.007 0.000 0.000 0.000 3.007 0.000 0.000 0.000 8.175" Properties=species:S:1:pos:R:3 pbc="T T T"
Re 0.000 0.000 0.000
Re 1.503 1.503 1.546
Si 0.000 0.000 3.096
Pb 1.503 1.503 5.865
```

Summary:
The space group is P4mm, No. 99. The value obtained for the distance to the lowest polymorph of the same formula is 0.00 eV/f.u. As for the formation energy without anion corrections: 1.4 eV per formula unit. Its crystal system is tetragonal. As for the electronic total energy: -8.157 eV per atom. As for the density of states at the Fermi level: 3.2 states/eV/cell.

(9)
Here is a relaxed structure of KZr2O from the Alexandria database. Energies are from PBE.

Geometry as extended XYZ:
```
8
Lattice="-3.437 3.437 4.861 3.437 -3.437 4.861 3.437 3.437 -4.861" Properties=species:S:1:pos:R:3 pbc="T T T"
K 0.000 0.000 0.000
K 0.000 3.437 2.430
Zr 1.719 -0.142 3.646
Zr 3.295 1.719 1.215
Zr 1.719 3.579 -1.215
Zr 0.142 1.719 6.076
O 3.437 0.000 2.430
O 0.000 0.000 4.861
```

Summary:
The space group is I-42d, No. 122. As for the formation energy without anion corrections: -2.3 eV per formula unit. Its crystal system is tetragonal. As for the electronic total energy: -6.357 eV per atom. As for the density of states at the Fermi level: 11.4 states/eV/cell.

(10)
Here is a relaxed structure of Li2AcLaIn2 from the Alexandria database. Energies are from PBE.

Geometry as extended XYZ:
```
6
Lattice="5.160 0.000 0.000 -2.580 4.469 0.000 0.000 0.000 7.242" Properties=species:S:1:pos:R:3 pbc="T T T"
Li 0.000 2.979 1.645
Li 2.580 1.490 5.597
Ac 0.000 0.000 3.621
La 0.000 0.000 0.000
In 0.000 2.979 5.574
In 2.580 1.490 1.669
```

Summary:
The calculation puts the formation energy at -1.95 eV/f.u. The space group is P-3m1, No. 164. Its crystal system is trigonal. As for the electronic total energy: -3.382 eV per atom. As for the density of states at the Fermi level: 5.3 states/eV/cell.

(11)
Here is a relaxed structure of CdIn2Tc from the Alexandria database. Energies are from PBE.

Geometry as extended XYZ:
```
4
Lattice="4.905 -1.607 0.000 4.905 1.607 0.000 -1.139 0.000 5.169" Properties=species:S:1:pos:R:3 pbc="T T T"
Cd 0.000 0.000 0.000
In 1.488 0.000 3.759
In 7.184 0.000 1.410
Tc 4.336 0.000 2.585
```

Summary:
The calculation puts the formation energy at 1.39 eV/f.u. The space group is C2/m, No. 12. Its crystal system is monoclinic. As for the electronic total energy: -3.842 eV per atom. As for the density of states at the Fermi level: 1.9 states/eV/cell.

(12)
Here is a relaxed structure of Sc2PaBi from the Alexandria database. Energies are from PBE.

Geometry as extended XYZ:
```
4
Lattice="0.000 3.631 3.631 3.631 0.000 3.631 3.631 3.631 0.000" Properties=species:S:1:pos:R:3 pbc="T T T"
Sc 1.816 1.816 1.816
Sc 5.447 5.447 5.447
Pa 0.000 0.000 0.000
Bi 3.631 3.631 3.631
```

Summary:
The calculation puts the formation energy at 0.08 eV/f.u. The space group is Fm-3m, No. 225. The value obtained for the distance to the lowest polymorph of the same formula is 0.80 eV/f.u. Its crystal system is cubic. As for the electronic total energy: -6.491 eV per atom. As for the density of states at the Fermi level: 5.5 states/eV/cell.